The following is a DFT calculation (PBE) of HoAgPO after structural relaxation.

## Properties
Size of the total moment, μB per cell: 0.00
Volume, Å³ per atom: 20.35
Offset from the most stable computed form, eV per formula unit: 1.28

Geometry as POSCAR:
```
HoAgPO
1.0
-1.1797 -2.7289 -2.1981
4.8588 2.2452 -5.3951
4.0538 -3.5149 2.1880
Ho P O Ag
2 2 2 2
Direct
0.5000 0.2923 0.9384
0.5000 0.7077 0.4384
0.5000 0.6592 0.9384
0.5000 0.3408 0.4384
0.0000 0.8386 0.4372
0.0000 0.1614 0.9372
0.0000 0.1346 0.4401
0.0000 0.8654 0.9401
```